! Ba3Br SCAN single point on PBEsol structure; values from VASP
&SYSTEM
  ibrav = 0, nat = 4, ntyp = 2
/
ATOMIC_SPECIES
Ba 137.33 Ba.upf
Br 79.90 Br.upf
ATOMIC_POSITIONS crystal
Ba 0.314 0.283 0.628
Ba 0.500 0.942 0.000
Br 0.000 0.287 0.000
Ba 0.686 0.655 0.372
CELL_PARAMETERS angstrom
4.180 0.000 0.000
0.000 7.585 0.000
-2.090 -3.793 6.344
! polymorph energy (0 for the lowest one): 92.2 meV/atom
! calculated total energy: -141.27 eV per cell
! energy relative to the elements, uncorrected: -0.7898 eV per atom